[1]
Material: Tb3PrNd5
Method: DFT, PBE
State: relaxed

a b c (Å): 9.561 9.561 12.458
angles (deg): 125.63 125.63 49.91
Positions (direct):
1 Tb 0.000 0.000 0.000
2 Tb 0.000 0.000 0.500
3 Tb 0.208 0.208 0.085
4 Tb 0.331 0.331 0.665
5 Tb 0.669 0.669 0.335
6 Tb 0.792 0.792 0.915
7 Pr 0.125 0.125 0.334
8 Pr 0.875 0.875 0.666
9 Nd 0.219 0.645 0.212
10 Nd 0.258 0.258 0.862
11 Nd 0.328 0.672 0.000
12 Nd 0.355 0.781 0.788
13 Nd 0.379 0.379 0.440
14 Nd 0.621 0.621 0.560
15 Nd 0.645 0.219 0.212
16 Nd 0.672 0.328 0.000
17 Nd 0.742 0.742 0.138
18 Nd 0.781 0.355 0.788

Computed properties:
SG = No. 12
Energy relative to the elements = 401 meV/atom
Energy above the lowest structure with this stoichiometry = 0.1236 eV/atom
Crystal system = monoclinic



[2]
Material: Tb3PrNd
Method: DFT, PBE
State: relaxed

a b c (Å): 3.653 11.740 8.716
angles (deg): 90.00 102.08 90.00
Positions (direct):
1 Tb 0.148 0.250 0.298
2 Tb 0.343 0.502 0.687
3 Tb 0.343 0.998 0.687
4 Tb 0.657 0.002 0.313
5 Tb 0.657 0.498 0.313
6 Tb 0.852 0.750 0.702
7 Pr 0.189 0.750 0.378
8 Pr 0.811 0.250 0.622
9 Nd 0.482 0.250 0.969
10 Nd 0.518 0.750 0.031

Computed properties:
SG = No. 11
Energy relative to the elements = 305 meV/atom
Energy above the lowest structure with this stoichiometry = 0.1346 eV/atom
Crystal system = monoclinic



[3]
Material: Tb8Pr5Nd
Method: DFT, PBE
State: relaxed

a b c (Å): 8.975 8.975 17.016
angles (deg): 117.51 117.51 23.01
Positions (direct):
1 Tb 0.078 0.078 0.222
2 Tb 0.147 0.147 0.939
3 Tb 0.216 0.216 0.646
4 Tb 0.419 0.419 0.277
5 Tb 0.581 0.581 0.723
6 Tb 0.784 0.784 0.354
7 Tb 0.853 0.853 0.061
8 Tb 0.922 0.922 0.778
9 Pr 0.000 0.000 0.500
10 Pr 0.287 0.287 0.857
11 Pr 0.355 0.355 0.560
12 Pr 0.645 0.645 0.440
13 Pr 0.713 0.713 0.143
14 Nd 0.500 0.500 0.000

Computed properties:
SG = No. 12
Energy relative to the elements = 45 meV/atom
Crystal system = monoclinic



[4]
Material: Tb15Pr4Nd
Method: DFT, PBE
State: relaxed

a b c (Å): 5.095 5.095 25.350
angles (deg): 90.00 90.00 90.00
Positions (direct):
1 Tb 0.000 0.000 0.000
2 Tb 0.000 0.000 0.200
3 Tb 0.000 0.000 0.400
4 Tb 0.000 0.000 0.600
5 Tb 0.000 0.000 0.800
6 Tb 0.000 0.500 0.100
7 Tb 0.000 0.500 0.300
8 Tb 0.000 0.500 0.500
9 Tb 0.000 0.500 0.700
10 Tb 0.000 0.500 0.900
11 Tb 0.500 0.000 0.100
12 Tb 0.500 0.000 0.300
13 Tb 0.500 0.000 0.500
14 Tb 0.500 0.000 0.700
15 Tb 0.500 0.000 0.900
16 Pr 0.500 0.500 0.200
17 Pr 0.500 0.500 0.400
18 Pr 0.500 0.500 0.600
19 Pr 0.500 0.500 0.800
20 Nd 0.500 0.500 0.000

Computed properties:
SG = No. 123
Energy relative to the elements = 17 meV/atom
Crystal system = tetragonal



[5]
Material: TbPr4Nd4
Method: DFT, PBE
State: relaxed

a b c (Å): 5.219 8.229 8.233
angles (deg): 107.57 108.41 90.07
Positions (direct):
1 Tb 0.000 0.000 0.000
2 Pr 0.222 0.333 0.443
3 Pr 0.335 0.999 0.669
4 Pr 0.665 0.001 0.331
5 Pr 0.778 0.667 0.557
6 Nd 0.110 0.668 0.221
7 Nd 0.445 0.667 0.890
8 Nd 0.555 0.333 0.110
9 Nd 0.890 0.332 0.779

Computed properties:
SG = No. 2
Energy relative to the elements = 13 meV/atom
Crystal system = triclinic



[6]
Material: TbPr7Nd12
Method: DFT, PBE
State: relaxed

a b c (Å): 8.973 8.973 8.973
angles (deg): 87.68 87.68 87.68
Positions (direct):
1 Tb 0.000 0.000 0.000
2 Pr 0.075 0.150 0.393
3 Pr 0.150 0.393 0.075
4 Pr 0.393 0.075 0.150
5 Pr 0.500 0.500 0.500
6 Pr 0.607 0.925 0.850
7 Pr 0.850 0.607 0.925
8 Pr 0.925 0.850 0.607
9 Nd 0.137 0.492 0.616
10 Nd 0.144 0.745 0.275
11 Nd 0.255 0.725 0.856
12 Nd 0.275 0.144 0.745
13 Nd 0.384 0.863 0.508
14 Nd 0.492 0.616 0.137
15 Nd 0.508 0.384 0.863
16 Nd 0.616 0.137 0.492
17 Nd 0.725 0.856 0.255
18 Nd 0.745 0.275 0.144
19 Nd 0.856 0.255 0.725
20 Nd 0.863 0.508 0.384

Computed properties:
SG = No. 148
Energy relative to the elements = 210 meV/atom
Energy above the lowest structure with this stoichiometry = 0.0000 eV/atom
Crystal system = trigonal



| no. | raw total energy (eV per formula unit) | Fermi-level density of states (states/eV/cell) |
| --- | --- | --- |
| 1 | -38.90 | 30.4 |
| 2 | -21.91 | 15.5 |
| 3 | -65.08 | 19.3 |
| 4 | -92.99 | 26.8 |
| 5 | -42.70 | 13.9 |
| 6 | -91.10 | 40.2 |